Density functional theory data (PBE-GGA) for a relaxed structure of RbMgCd3.

```
RbMgCd3
1.0
3.703 -6.904 0.000
3.703 6.904 0.000
0.000 0.000 5.848
Rb Mg Cd
2 2 6
Cartesian
3.703 5.603 4.386 Rb
3.703 -5.603 1.462 Rb
3.703 0.000 0.000 Mg
3.703 0.000 2.924 Mg
2.153 2.225 4.386 Cd
3.703 2.683 1.462 Cd
2.153 -2.225 1.462 Cd
5.254 2.225 4.386 Cd
3.703 -2.683 4.386 Cd
5.254 -2.225 1.462 Cd
```

Summary:
DFT formation energy   -0.72 kcal/mol of atoms
Space group   Cmcm, No. 63

Density functional theory data (PBE-GGA) for a relaxed structure of La3SiHg.

```
La3SiHg
1.0
9.420 0.000 0.000
0.000 8.709 0.000
-1.217 0.000 7.219
La Si Hg
12 4 4
Cartesian
1.038 1.696 0.274 La
0.430 2.659 3.884 La
1.079 5.598 5.976 La
1.688 7.466 2.366 La
3.222 4.444 2.299 La
2.613 8.620 5.908 La
5.590 0.089 1.311 La
4.981 4.266 4.920 La
6.515 1.244 4.852 La
7.124 3.111 1.243 La
7.773 6.050 3.335 La
7.165 7.014 6.944 La
0.348 4.680 1.215 Si
-0.261 8.384 4.825 Si
8.464 0.325 2.394 Si
7.855 4.029 6.003 Si
3.506 1.495 3.228 Hg
2.898 2.859 6.837 Hg
5.305 5.850 0.381 Hg
4.697 7.214 3.991 Hg
```

Summary:
Space group   P2_1/c, No. 14
Raw formation energy   -474 meV per atom

| no. | ΔE to the lowest computed polymorph (meV per atom) | spin magnetization (μB per formula unit) |
| --- | --- | --- |
| 1 | 0 | 0.00 |
| 2 | 0 | 0.00 |